[1]
Tc3BiOs: relaxed, PBE-GGA.

a = 4.7491 Å, b = 4.7491 Å, c = 4.7491 Å
α = 90.00°, β = 90.00°, γ = 90.00°
Last column: nearest neighbours and their distance in Å.
Sites, in units of the cell vectors:
Bi: 0.5000 0.5000 0.5000  12 Tc 3.36
Os: 0.0000 0.0000 0.0000  6 Tc 2.37
Tc: 0.0000 0.5000 0.0000  2 Os 2.37
Tc: 0.0000 0.0000 0.5000  2 Os 2.37
Tc: 0.5000 0.0000 0.0000  2 Os 2.37

Calculated values
symmetry: Pm-3m (221)
ΔE_f: 1.5076 eV/atom
E: -38.671 eV for the cell shown


[2]
ZrTcBi2Os: relaxed, PBE-GGA.

a = 5.5702 Å, b = 4.8423 Å, c = 5.5702 Å
α = 90.00°, β = 90.00°, γ = 90.00°
Last column: nearest neighbours and their distance in Å.
Sites, in units of the cell vectors:
Zr: 0.0000 0.0000 0.0000  2 Os 2.42
Bi: 0.0000 0.0000 0.5000  2 Zr 2.79
Bi: 0.5000 0.0000 0.0000  2 Zr 2.79
Tc: 0.5000 0.5000 0.5000  8 Bi 3.69, 4 Os 3.94
Os: 0.0000 0.5000 0.0000  2 Zr 2.42

Calculated values
symmetry: P4/mmm (123)
ΔE_f: 1.7661 eV/atom
E: -29.075 eV for the cell shown


What did the first record say?
Tc3BiOs: relaxed, PBE-GGA.

a = 4.7491 Å, b = 4.7491 Å, c = 4.7491 Å
α = 90.00°, β = 90.00°, γ = 90.00°
Last column: nearest neighbours and their distance in Å.
Sites, in units of the cell vectors:
Bi: 0.5000 0.5000 0.5000  12 Tc 3.36
Os: 0.0000 0.0000 0.0000  6 Tc 2.37
Tc: 0.0000 0.5000 0.0000  2 Os 2.37
Tc: 0.0000 0.0000 0.5000  2 Os 2.37
Tc: 0.5000 0.0000 0.0000  2 Os 2.37

Calculated values
symmetry: Pm-3m (221)
ΔE_f: 1.5076 eV/atom
E: -38.671 eV for the cell shown


Question: Which of these has the lowest E?
Answer: Tc3BiOs


Repeat the first record exactly.
Tc3BiOs: relaxed, PBE-GGA.

a = 4.7491 Å, b = 4.7491 Å, c = 4.7491 Å
α = 90.00°, β = 90.00°, γ = 90.00°
Last column: nearest neighbours and their distance in Å.
Sites, in units of the cell vectors:
Bi: 0.5000 0.5000 0.5000  12 Tc 3.36
Os: 0.0000 0.0000 0.0000  6 Tc 2.37
Tc: 0.0000 0.5000 0.0000  2 Os 2.37
Tc: 0.0000 0.0000 0.5000  2 Os 2.37
Tc: 0.5000 0.0000 0.0000  2 Os 2.37

Calculated values
symmetry: Pm-3m (221)
ΔE_f: 1.5076 eV/atom
E: -38.671 eV for the cell shown